# 1
Compound: LiBPb
Source: Alexandria
Functional: PBE-GGA
Structure: relaxed

Cell lengths 10.5472, 6.2198, 6.1536 Å; angles 90.00, 145.66, 90.00 degrees
Last column: nearest neighbours and their distance in Å.
Element x y z (fractional)
B: 0.9107 0.9938 0.9671  1 B 1.57
B: 0.0893 0.0062 0.0329  1 B 1.57
B: 0.4107 0.5062 0.4671  1 B 1.57
B: 0.5893 0.4938 0.5329  1 B 1.57
Pb: 0.8343 0.7242 0.1482  2 B 2.49-2.63
Pb: 0.3343 0.7758 0.6482  2 B 2.49-2.63
Pb: 0.6657 0.2242 0.3518  2 B 2.49-2.63
Pb: 0.1657 0.2758 0.8518  2 B 2.49-2.63
Li: 0.3470 0.8092 0.1607  3 B 2.34-2.45
Li: 0.1530 0.3092 0.3393  3 B 2.34-2.45
Li: 0.6530 0.1908 0.8393  3 B 2.34-2.45
Li: 0.8470 0.6908 0.6607  3 B 2.34-2.45

Properties
formation energy	30	kJ/mol of atoms
calculated density	6.6	g cm⁻³
raw total energy	-3.79	eV per atom

---

# 2
Compound: LiBPb
Source: Alexandria
Functional: PBE-GGA
Structure: relaxed

Cell lengths 9.2247, 3.5431, 3.3603 Å; angles 90.00, 90.00, 90.00 degrees
Last column: nearest neighbours and their distance in Å.
Element x y z (fractional)
Pb: 0.2305 0.5000 0.0000  2 B 2.46
Pb: 0.7695 0.5000 0.0000  2 B 2.46
B: 0.4148 0.0000 0.0000  1 B 1.57
B: 0.5852 0.0000 0.0000  1 B 1.57
Li: 0.5000 0.5000 0.5000  8 B 2.56
Li: 0.0000 0.0000 0.5000  8 Pb 3.24, 4 Li 3.36-3.54

Properties
formation energy	33	kJ/mol of atoms
calculated density	6.8	g cm⁻³
raw total energy	-3.76	eV per atom

---

# 3
Compound: LiBPb
Source: Alexandria
Functional: PBE-GGA
Structure: relaxed

Cell lengths 10.3840, 10.3840, 7.7019 Å; angles 47.61, 47.61, 90.00 degrees
Last column: nearest neighbours and their distance in Å.
Element x y z (fractional)
Li: 0.5000 0.6767 0.0000  2 Li 2.60, 4 B 2.66, 2 Pb 2.73
Li: 0.5000 0.3233 0.0000  2 Li 2.60, 4 B 2.66, 2 Pb 2.73
Li: 0.3233 0.5000 0.0000  2 Li 2.60, 4 B 2.66, 2 Pb 2.73
Li: 0.6767 0.5000 0.0000  2 Li 2.60, 4 B 2.66, 2 Pb 2.73
B: 0.0829 0.9171 0.0000  2 B 1.72
B: 0.9171 0.0829 0.0000  2 B 1.72
B: 0.0829 0.0829 0.0000  2 B 1.72
B: 0.9171 0.9171 0.0000  2 B 1.72
Pb: 0.6853 0.0000 0.0000  2 B 2.56, 2 Li 2.73
Pb: 0.0000 0.3147 0.0000  2 B 2.56, 2 Li 2.73
Pb: 0.3147 0.0000 0.0000  2 B 2.56, 2 Li 2.73
Pb: 0.0000 0.6853 0.0000  2 B 2.56, 2 Li 2.73

Properties
formation energy	48	kJ/mol of atoms
calculated density	6.0	g cm⁻³
raw total energy	-3.60	eV per atom

---

# 4
Compound: LiBPb
Source: Alexandria
Functional: PBE-GGA
Structure: relaxed

Cell lengths 10.5458, 10.5458, 3.1663 Å; angles 90.00, 90.00, 160.04 degrees
Last column: nearest neighbours and their distance in Å.
Element x y z (fractional)
Li: 0.0573 0.9427 0.2500  4 B 2.32
Li: 0.9427 0.0573 0.7500  4 B 2.32
B: 0.5000 0.5000 0.5000  2 B 1.58
B: 0.5000 0.5000 0.0000  2 B 1.58
Pb: 0.3079 0.6921 0.7500  6 Pb 3.17-3.41, 2 Li 3.34
Pb: 0.6921 0.3079 0.2500  6 Pb 3.17-3.41, 2 Li 3.34

Properties
formation energy	4	kJ/mol of atoms
calculated density	6.2	g cm⁻³
raw total energy	-4.06	eV per atom

---

# 5
Compound: LiBPb
Source: Alexandria
Functional: PBE-GGA
Structure: relaxed

Cell lengths 6.6787, 5.7191, 3.1828 Å; angles 73.85, 90.02, 108.91 degrees
Last column: nearest neighbours and their distance in Å.
Element x y z (fractional)
B: 0.1019 0.6308 0.3446  2 B 1.63
B: 0.1507 0.6224 0.8488  2 B 1.63
Li: 0.8604 0.7355 0.7918  3 B 2.23-2.47
Li: 0.4487 0.6904 0.3146  3 B 2.23-2.48
Pb: 0.6957 0.2246 0.5478  1 B 2.87, 2 Li 3.09, 2 Pb 3.18
Pb: 0.2099 0.1613 0.0779  2 B 2.69-2.76

Properties
formation energy	9	kJ/mol of atoms
calculated density	6.8	g cm⁻³
raw total energy	-4.01	eV per atom

---

# 6
Compound: LiBPb
Source: Alexandria
Functional: PBE-GGA
Structure: relaxed

Cell lengths 13.0133, 3.1820, 5.7072 Å; angles 90.00, 90.00, 90.00 degrees
Last column: nearest neighbours and their distance in Å.
Element x y z (fractional)
Li: 0.6607 0.7500 0.8941  2 B 2.32
Li: 0.8393 0.2500 0.3941  2 B 2.32
Li: 0.3393 0.2500 0.1059  2 B 2.32
Li: 0.1607 0.7500 0.6059  2 B 2.32
Pb: 0.6110 0.2500 0.3995  2 B 2.81, 1 Li 2.97
Pb: 0.1110 0.2500 0.1006  2 B 2.81, 1 Li 2.97
Pb: 0.3890 0.7500 0.6006  2 B 2.81, 1 Li 2.97
Pb: 0.8890 0.7500 0.8994  2 B 2.81, 1 Li 2.97
B: 0.0000 0.5000 0.5000  2 B 1.59
B: 0.5000 0.5000 0.0000  2 B 1.59
B: 0.0000 0.0000 0.5000  2 B 1.59
B: 0.5000 0.0000 0.0000  2 B 1.59

Properties
formation energy	16	kJ/mol of atoms
calculated density	6.3	g cm⁻³
raw total energy	-3.94	eV per atom

---

# 7
Compound: LiBPb
Source: Alexandria
Functional: PBE-GGA
Structure: relaxed

Cell lengths 7.1293, 7.1293, 4.0675 Å; angles 90.00, 90.00, 145.87 degrees
Last column: nearest neighbours and their distance in Å.
Element x y z (fractional)
Pb: 0.8744 0.1256 0.2500  4 B 2.66-2.68, 5 Li 2.91-2.96
Pb: 0.1256 0.8744 0.7500  4 B 2.66-2.68, 5 Li 2.91-2.96
B: 0.2515 0.7485 0.2500  4 Li 2.36-2.43
B: 0.7485 0.2515 0.7500  4 Li 2.36-2.43
Li: 0.3388 0.6612 0.7500  4 B 2.36-2.43
Li: 0.6612 0.3388 0.2500  4 B 2.36-2.43

Properties
formation energy	60	kJ/mol of atoms
calculated density	6.4	g cm⁻³
raw total energy	-3.48	eV per atom

---

# 8
Compound: LiBPb
Source: Alexandria
Functional: PBE-GGA
Structure: relaxed

Cell lengths 4.7032, 4.7032, 5.3362 Å; angles 90.00, 90.00, 88.73 degrees
Last column: nearest neighbours and their distance in Å.
Element x y z (fractional)
Pb: 0.2597 0.2597 0.5000  2 B 2.49
Pb: 0.7403 0.7403 0.5000  2 B 2.49
Li: 0.5000 0.0000 0.0000  4 B 2.48
Li: 0.0000 0.5000 0.0000  4 B 2.48
B: 0.5000 0.5000 0.1453  1 B 1.55
B: 0.5000 0.5000 0.8547  1 B 1.55

Properties
formation energy	23	kJ/mol of atoms
calculated density	6.3	g cm⁻³
raw total energy	-3.87	eV per atom

---

# 9
Compound: LiBPb
Source: Alexandria
Functional: PBE-GGA
Structure: relaxed

Cell lengths 4.0294, 4.0294, 6.8755 Å; angles 90.00, 90.00, 120.00 degrees
Last column: nearest neighbours and their distance in Å.
Element x y z (fractional)
Pb: 0.6667 0.3333 0.9616  4 B 2.50-2.52
Pb: 0.3333 0.6667 0.4616  4 B 2.50-2.52
Li: 0.0000 0.0000 0.6936  3 B 2.42
Li: 0.0000 0.0000 0.1936  3 B 2.42
B: 0.3333 0.6667 0.0948  3 Li 2.42, 4 Pb 2.50-2.52
B: 0.6667 0.3333 0.5948  3 Li 2.42, 4 Pb 2.50-2.52

Properties
formation energy	44	kJ/mol of atoms
calculated density	7.7	g cm⁻³
raw total energy	-3.64	eV per atom

---

# 10
Compound: LiBPb
Source: Alexandria
Functional: PBE-GGA
Structure: relaxed

Cell lengths 14.3008, 3.8785, 7.9958 Å; angles 75.96, 26.59, 90.00 degrees
Last column: nearest neighbours and their distance in Å.
Element x y z (fractional)
Pb: 0.6766 0.1766 0.6467  2 B 2.40
Pb: 0.5062 0.3415 0.3170  4 B 2.43-2.50, 1 Li 2.61
Pb: 0.1768 0.3415 0.3170  4 B 2.43-2.50, 1 Li 2.61
Li: 0.0497 0.0497 0.9006  1 B 2.36
Li: 0.1317 0.4706 0.0588  1 B 2.46, 1 Pb 2.61
Li: 0.8096 0.4706 0.0588  1 B 2.46, 1 Pb 2.61
B: 0.4416 0.4416 0.1167  1 Li 2.36, 4 Pb 2.40-2.43
B: 0.7751 0.0728 0.8544  3 Pb 2.45-2.50, 1 Li 2.46
B: 0.3705 0.0728 0.8544  3 Pb 2.45-2.50, 1 Li 2.46

Properties
formation energy	68	kJ/mol of atoms
calculated density	6.7	g cm⁻³
raw total energy	-3.39	eV per atom

---

# 11
Compound: LiBPb
Source: Alexandria
Functional: PBE-GGA
Structure: relaxed

Cell lengths 4.1333, 4.1333, 6.1287 Å; angles 90.00, 90.00, 90.00 degrees
Last column: nearest neighbours and their distance in Å.
Element x y z (fractional)
Pb: 0.5000 0.0000 0.2277  4 B 2.66, 5 Li 2.95-2.96
Pb: 0.0000 0.5000 0.7723  4 B 2.66, 5 Li 2.95-2.96
B: 0.5000 0.5000 0.5000  4 Li 2.43, 4 Pb 2.66
B: 0.0000 0.0000 0.5000  4 Li 2.43, 4 Pb 2.66
Li: 0.5000 0.0000 0.7100  4 B 2.43
Li: 0.0000 0.5000 0.2900  4 B 2.43

Properties
formation energy	57	kJ/mol of atoms
calculated density	7.1	g cm⁻³
raw total energy	-3.51	eV per atom

---

# 12
Compound: LiBPb
Source: Alexandria
Functional: PBE-GGA
Structure: relaxed

Cell lengths 3.3467, 3.8999, 4.2885 Å; angles 90.00, 90.00, 90.00 degrees
Last column: nearest neighbours and their distance in Å.
Element x y z (fractional)
B: 0.0000 0.5000 0.5000  4 Pb 2.57, 4 Li 2.72
Li: 0.5000 0.5000 0.0000  4 B 2.72, 4 Pb 2.90
Pb: 0.5000 0.0000 0.5000  4 B 2.57

Properties
formation energy	76	kJ/mol of atoms
calculated density	6.7	g cm⁻³
raw total energy	-3.31	eV per atom